# 1
Here is a geometry-optimized ReH22C4S4N8Cl8O3 structure from Alexandria via LeMat-Bulk. Energies are from PBE.

Cell lengths 11.9684, 13.6290, 17.0593 Å; angles 90.00, 90.00, 90.00 degrees
Space group Cmcm (No. 63)
Inequivalent atoms, fractional coordinates:
Re1 0.0000 0.1584 0.2500 [4 per cell]
H1 0.0000 0.4165 0.7038 [8 per cell]
H2 0.1001 0.2100 0.0005 [16 per cell]
H3 0.1250 0.4639 0.2500 [8 per cell]
H4 0.1423 0.2227 0.6318 [16 per cell]
H5 0.1557 0.1137 0.0568 [16 per cell]
H6 0.2415 0.1382 0.6742 [16 per cell]
H7 0.2472 0.4965 0.7500 [8 per cell]
C1 0.2082 0.1221 0.5578 [16 per cell]
S1 0.1954 0.4780 0.0568 [16 per cell]
N1 0.1535 0.1516 0.0053 [16 per cell]
N2 0.1992 0.1660 0.6261 [16 per cell]
Cl1 0.0000 0.0345 0.1510 [8 per cell]
Cl2 0.0000 0.2800 0.1508 [8 per cell]
Cl3 0.0000 0.3197 0.5947 [8 per cell]
Cl4 0.1994 0.1565 0.2500 [8 per cell]
O1 0.0000 0.4605 0.7500 [4 per cell]
O2 0.2042 0.4414 0.2500 [8 per cell]

Energy (hartree per atom): -0.192
Crystal system: orthorhombic
Total moment (μB per formula unit): 3.00

=====

# 2
Here is a geometry-optimized ZnH12C2S2N4Cl2O4 structure from Alexandria via LeMat-Bulk. Energies are from PBE.

Cell lengths 14.5364, 4.9090, 9.0932 Å; angles 90.00, 90.00, 90.00 degrees
Space group Pmn2_1 (No. 31)
Inequivalent atoms, fractional coordinates:
Zn1 0.0000 0.0881 0.0000 [2 per cell]
H1 0.0864 0.4989 0.5825 [4 per cell]
H2 0.1048 0.4320 0.1358 [4 per cell]
H3 0.1229 0.7387 0.4423 [4 per cell]
H4 0.1644 0.1418 0.1129 [4 per cell]
H5 0.1669 0.7618 0.6285 [4 per cell]
H6 0.1819 0.3110 0.8540 [4 per cell]
C1 0.1432 0.6252 0.5410 [4 per cell]
S1 0.2328 0.3963 0.4943 [4 per cell]
N1 0.1245 0.2860 0.0605 [4 per cell]
N2 0.1732 0.4259 0.9473 [4 per cell]
Cl1 0.0000 0.0527 0.7578 [2 per cell]
Cl2 0.0000 0.7868 0.1904 [2 per cell]
O1 0.2081 0.2480 0.3628 [4 per cell]
O2 0.2421 0.7538 0.1262 [4 per cell]

Energy (hartree per atom): -0.188
Crystal system: orthorhombic
Fermi-level density of states (states/eV per cell): 0.0
Total moment (μB per formula unit): 0.00

=====

# 3
Here is a geometry-optimized ZnH8C2N4Cl2O2 structure from Alexandria via LeMat-Bulk. Energies are from PBE.

Cell lengths 6.4023, 6.9643, 12.1423 Å; angles 88.03, 75.86, 65.90 degrees
Space group P-1 (No. 2)
Inequivalent atoms, fractional coordinates:
Zn1 0.0201 0.1708 0.2479 [2 per cell]
H1 0.1837 0.4518 0.9275 [2 per cell]
H2 0.1852 0.3651 0.7236 [2 per cell]
H3 0.2220 0.7420 0.4281 [2 per cell]
H4 0.2620 0.4792 0.4088 [2 per cell]
H5 0.3356 0.8415 0.9537 [2 per cell]
H6 0.4549 0.1720 0.6480 [2 per cell]
H7 0.4877 0.1818 0.1839 [2 per cell]
H8 0.4951 0.3281 0.9042 [2 per cell]
C1 0.3052 0.3116 0.0638 [2 per cell]
C2 0.4435 0.4707 0.6585 [2 per cell]
N1 0.3292 0.5900 0.3989 [2 per cell]
N2 0.3302 0.3723 0.9573 [2 per cell]
N3 0.3491 0.3275 0.6717 [2 per cell]
N4 0.4993 0.8039 0.9008 [2 per cell]
Cl1 0.0796 0.8702 0.1580 [2 per cell]
Cl2 0.1993 0.1497 0.3899 [2 per cell]
O1 0.0966 0.3630 0.1300 [2 per cell]
O2 0.3251 0.6632 0.6984 [2 per cell]

Energy (hartree per atom): -0.205
Crystal system: triclinic
Fermi-level density of states (states/eV per cell): 0.0
Total moment (μB per formula unit): 0.00

=====

# 4
Here is a geometry-optimized H6PbCN3Cl3 structure from Alexandria via LeMat-Bulk. Energies are from PBE.

Cell lengths 8.7006, 7.7639, 17.4779 Å; angles 90.00, 119.86, 90.00 degrees
Space group P2_1/c (No. 14)
Inequivalent atoms, fractional coordinates:
H1 0.0532 0.2086 0.2066 [4 per cell]
H2 0.0578 0.2284 0.0715 [4 per cell]
H3 0.1402 0.7369 0.5277 [4 per cell]
H4 0.1423 0.7494 0.2928 [4 per cell]
H5 0.4117 0.7197 0.0275 [4 per cell]
H6 0.4157 0.7410 0.9298 [4 per cell]
Pb1 0.4858 0.0216 0.7502 [4 per cell]
C1 0.1666 0.7436 0.4166 [4 per cell]
N1 0.0771 0.7359 0.4604 [4 per cell]
N2 0.0801 0.7302 0.3285 [4 per cell]
N3 0.3426 0.7355 0.9608 [4 per cell]
Cl1 0.2114 0.7369 0.6765 [4 per cell]
Cl2 0.3570 0.1902 0.3229 [4 per cell]
Cl3 0.3569 0.2297 0.1060 [4 per cell]

Energy (hartree per atom): -0.189
Crystal system: monoclinic
Fermi-level density of states (states/eV per cell): 0.0
Total moment (μB per formula unit): 0.00

=====

# 5
Here is a geometry-optimized H6PbCNCl3 structure from Alexandria via LeMat-Bulk. Energies are from PBE.

Cell lengths 5.7531, 5.7319, 5.9172 Å; angles 90.00, 91.32, 90.00 degrees
Space group Pm (No. 6)
Inequivalent atoms, fractional coordinates:
H1 0.0000 0.0000 0.0000 [1 per cell]
H2 0.1008 0.1570 0.2456 [2 per cell]
H3 0.6789 0.1473 0.2204 [2 per cell]
H4 0.7674 0.0000 0.4483 [1 per cell]
Pb1 0.4466 0.5000 0.7158 [1 per cell]
C1 0.0109 0.0000 0.1848 [1 per cell]
N1 0.7707 0.0000 0.2733 [1 per cell]
Cl1 0.4880 0.5000 0.2009 [1 per cell]
Cl2 0.4955 0.0000 0.7458 [1 per cell]
Cl3 0.9572 0.5000 0.6616 [1 per cell]

Energy (hartree per atom): -0.167
Crystal system: monoclinic
Fermi-level density of states (states/eV per cell): 0.0
Total moment (μB per formula unit): 0.00

=====

# 6
Here is a geometry-optimized H16PtC4N2Cl6 structure from Alexandria via LeMat-Bulk. Energies are from PBE.

Cell lengths 13.4055, 10.3188, 7.2408 Å; angles 90.00, 122.38, 90.00 degrees
Space group C2/m (No. 12)
Inequivalent atoms, fractional coordinates:
H1 0.1493 0.0000 0.2593 [4 per cell]
H2 0.1513 0.0000 0.0337 [4 per cell]
H3 0.1661 0.3777 0.7919 [8 per cell]
H4 0.1678 0.3779 0.5455 [8 per cell]
H5 0.2188 0.2046 0.2161 [8 per cell]
Pt1 0.0000 0.0000 0.5000 [2 per cell]
C1 0.2221 0.3792 0.7244 [8 per cell]
N1 0.2059 0.0000 0.2028 [4 per cell]
Cl1 0.0011 0.1589 0.2680 [8 per cell]
Cl2 0.2081 0.0000 0.7087 [4 per cell]

Energy (hartree per atom): -0.172
Crystal system: monoclinic
Fermi-level density of states (states/eV per cell): 0.0
Total moment (μB per formula unit): 0.00